DFT (PBE-GGA) results for a relaxed structure of SrRe3Si.

Cell lengths 4.822, 4.822, 4.822 Å; angles 90.00, 90.00, 90.00 degrees
Fractional coordinates of all 5 atoms:
Sr: 0.000 0.000 0.000
Re: 0.000 0.000 0.500
Re: 0.000 0.500 0.000
Re: 0.500 0.000 0.000
Si: 0.500 0.500 0.500

Output
- SG = Pm-3m
- crystal system = cubic
- energy relative to the elements, uncorrected (eV/atom) = 3.912
- relative energy among the computed polymorphs (meV/atom) = 2769
- energy (eV/atom) = -4.9774

***

DFT (PBE-GGA) results for a relaxed structure of HfIn2AsSe.

Cell lengths 5.198, 5.198, 5.162 Å; angles 90.00, 90.00, 90.00 degrees
Fractional coordinates of all 5 atoms:
Hf: 0.000 0.000 0.000
In: 0.000 0.500 0.500
In: 0.500 0.000 0.500
As: 0.500 0.500 0.500
Se: 0.500 0.500 0.000

Output
- SG = P4/mmm
- crystal system = tetragonal
- energy relative to the elements, uncorrected (eV/atom) = 0.750
- energy (eV/atom) = -3.9629